# 1
Density functional theory data (PBE-GGA) for a geometry-optimized NaTiTl3 structure.

Lattice parameters (Å, degrees): 5.4734 5.4734 5.4734 90.00 90.00 90.00
Last column: nearest neighbours and their distance in Å.
Element x y z (fractional)
Na (0.5000, 0.5000, 0.5000)  12 Tl 3.87
Tl (0.0000, 0.5000, 0.0000)  2 Ti 2.74
Tl (0.0000, 0.0000, 0.5000)  2 Ti 2.74
Tl (0.5000, 0.0000, 0.0000)  2 Ti 2.74
Ti (0.0000, 0.0000, 0.0000)  6 Tl 2.74

distance to the lowest polymorph of the same formula	0	meV per atom
DOS at the Fermi energy	4.72	states/eV/cell
energy relative to the elements	258	meV per atom
ρ	6.93	g/cm³

***

# 2
Density functional theory data (PBE-GGA) for a geometry-optimized KHW2 structure.

Lattice parameters (Å, degrees): 5.8668 5.8668 5.8620 59.97 59.97 90.00
Last column: nearest neighbours and their distance in Å.
Element x y z (fractional)
H (0.5000, 0.5000, 0.0000)  4 W 1.80
H (0.2500, 0.7500, 0.5000)  4 W 1.80
K (0.0000, 0.0000, 0.0000)  12 W 3.44, 4 H 3.59, 4 K 3.59
K (0.7500, 0.2500, 0.5000)  12 W 3.44, 4 K 3.59, 4 H 3.59
W (0.3751, 0.1250, 0.2500)  2 H 1.80
W (0.3749, 0.6250, 0.2500)  2 H 1.80
W (0.3750, 0.6249, 0.7500)  2 H 1.80
W (0.8750, 0.6251, 0.7500)  2 H 1.80

distance to the lowest polymorph of the same formula	0	meV per atom
DOS at the Fermi energy	8.99	states/eV/cell
ρ	9.50	g/cm³

***

# 3
Density functional theory data (PBE-GGA) for a geometry-optimized Hg2NCl structure.

Lattice parameters (Å, degrees): 5.9314 5.9314 7.0178 65.00 65.00 90.00
Last column: nearest neighbours and their distance in Å.
Element x y z (fractional)
N (0.5000, 0.5000, 0.0000)  4 Hg 2.12
N (0.2500, 0.7500, 0.5000)  4 Hg 2.12
Hg (0.4714, 0.1250, 0.2500)  2 N 2.12
Hg (0.2786, 0.6250, 0.2500)  2 N 2.12
Hg (0.3750, 0.5286, 0.7500)  2 N 2.12
Hg (0.8750, 0.7214, 0.7500)  2 N 2.12
Cl (0.0000, 0.0000, 0.0000)  4 Hg 3.15
Cl (0.7500, 0.2500, 0.5000)  4 Hg 3.15

uncorrected formation energy	0.2808	eV/atom
DOS at the Fermi energy	0.00	states/eV/cell
ρ	7.56	g/cm³

***

# 4
Density functional theory data (PBE-GGA) for a geometry-optimized LiGe2Se4 structure.

Lattice parameters (Å, degrees): 6.1877 6.1877 10.6306 90.00 90.00 118.31
Last column: nearest neighbours and their distance in Å.
Element x y z (fractional)
Li (0.5000, 0.5000, 0.2500)  8 Se 3.08-3.19
Li (0.5000, 0.5000, 0.7500)  8 Se 3.08-3.19
Ge (0.2357, 0.7652, 0.0000)  4 Se 2.47-2.52
Ge (0.7643, 0.2348, 0.0000)  4 Se 2.47-2.52
Ge (0.2348, 0.7643, 0.5000)  4 Se 2.47-2.52
Ge (0.7652, 0.2357, 0.5000)  4 Se 2.47-2.52
Se (0.6462, 0.7857, 0.0000)  2 Ge 2.48-2.52
Se (0.3538, 0.2143, 0.0000)  2 Ge 2.48-2.52
Se (0.2143, 0.3538, 0.5000)  2 Ge 2.48-2.52
Se (0.7857, 0.6462, 0.5000)  2 Ge 2.48-2.52
Se (0.5000, 0.0000, 0.3224)  2 Ge 2.47
Se (0.0000, 0.5000, 0.1776)  2 Ge 2.47
Se (0.5000, 0.0000, 0.6776)  2 Ge 2.47
Se (0.0000, 0.5000, 0.8224)  2 Ge 2.47

distance to the lowest polymorph of the same formula	13	meV per atom
uncorrected formation energy	-0.3935	eV/atom
DOS at the Fermi energy	4.68	states/eV/cell
ρ	4.34	g/cm³

***

# 5
Density functional theory data (PBE-GGA) for a geometry-optimized GaRh2I structure.

Lattice parameters (Å, degrees): 4.3771 4.3771 8.7316 75.48 75.48 90.00
Last column: nearest neighbours and their distance in Å.
Element x y z (fractional)
I (0.0000, 0.0000, 0.0000)  4 Rh 2.57
I (0.7500, 0.2500, 0.5000)  4 Rh 2.57
Rh (0.6214, 0.1250, 0.2500)  2 Ga 2.55, 2 I 2.57
Rh (0.1286, 0.6250, 0.2500)  2 Ga 2.55, 2 I 2.57
Rh (0.3750, 0.3786, 0.7500)  2 Ga 2.55, 2 I 2.57
Rh (0.8750, 0.8714, 0.7500)  2 Ga 2.55, 2 I 2.57
Ga (0.5000, 0.5000, 0.0000)  4 Rh 2.55
Ga (0.2500, 0.7500, 0.5000)  4 Rh 2.55

distance to the lowest polymorph of the same formula	0	meV per atom
uncorrected formation energy	0.2082	eV/atom
DOS at the Fermi energy	5.37	states/eV/cell
ρ	8.54	g/cm³

***

# 6
Density functional theory data (PBE-GGA) for a geometry-optimized SmErMgMn structure.

Lattice parameters (Å, degrees): 5.2063 5.2063 5.2063 60.00 60.00 60.00
Last column: nearest neighbours and their distance in Å.
Element x y z (fractional)
Mg (0.0000, 0.0000, 0.0000)  4 Er 3.19, 4 Sm 3.19
Mn (0.5000, 0.5000, 0.5000)  4 Er 3.19, 4 Sm 3.19
Sm (0.7500, 0.7500, 0.7500)  4 Mn 3.19, 4 Mg 3.19
Er (0.2500, 0.2500, 0.2500)  4 Mn 3.19, 4 Mg 3.19

DOS at the Fermi energy	4.86	states/eV/cell
energy relative to the elements	103	meV per atom
ρ	6.60	g/cm³

***

# 7
Density functional theory data (PBE-GGA) for a geometry-optimized LiPdI structure.

Lattice parameters (Å, degrees): 9.1565 4.4992 7.7821 90.00 106.88 90.00
Last column: nearest neighbours and their distance in Å.
Element x y z (fractional)
Li (0.8405, 0.0000, 0.9652)  3 I 2.84, 1 Li 2.89, 3 Pd 2.98-2.99
Li (0.8405, 0.5000, 0.4652)  3 I 2.84, 1 Li 2.89, 3 Pd 2.98-2.99
Li (0.1701, 0.0000, 0.0806)  3 Pd 2.61, 3 I 2.85, 1 Li 2.89
Li (0.1701, 0.5000, 0.5806)  3 Pd 2.61, 3 I 2.85, 1 Li 2.89
Pd (0.0077, 0.0000, 0.3575)  2 I 2.60-2.61, 3 Pd 2.83
Pd (0.0077, 0.5000, 0.8575)  2 I 2.60-2.61, 3 Pd 2.83
Pd (0.1372, 0.0000, 0.7355)  3 Li 2.61, 3 Pd 2.83
Pd (0.1372, 0.5000, 0.2355)  3 Li 2.61, 3 Pd 2.83
I (0.3044, 0.0000, 0.4603)  1 Pd 2.60, 3 Li 2.85
I (0.3044, 0.5000, 0.9603)  1 Pd 2.60, 3 Li 2.85
I (0.7096, 0.0000, 0.2538)  1 Pd 2.61, 3 Li 2.84
I (0.7096, 0.5000, 0.7538)  1 Pd 2.61, 3 Li 2.84

distance to the lowest polymorph of the same formula	38	meV per atom
uncorrected formation energy	-0.5196	eV/atom
ρ	5.20	g/cm³

***

# 8
Density functional theory data (PBE-GGA) for a geometry-optimized YTaSe structure.

Lattice parameters (Å, degrees): 4.8944 4.8944 4.8944 60.00 60.00 60.00
Last column: nearest neighbours and their distance in Å.
Element x y z (fractional)
Se (0.0000, 0.0000, 0.0000)  4 Y 3.00
Ta (0.5000, 0.5000, 0.5000)  4 Y 3.00
Y (0.2500, 0.2500, 0.2500)  4 Se 3.00, 4 Ta 3.00

distance to the lowest polymorph of the same formula	1349	meV per atom
uncorrected formation energy	0.8764	eV/atom
DOS at the Fermi energy	2.89	states/eV/cell
ρ	6.99	g/cm³